The following is a DFT calculation (GGA-PBE) of a relaxed structure of Rb5Tl4Sn2.

Computed properties:
SG	C2/m (12)
density	5.28	g/cm3
DOS(E_F)	0.57	states/eV/atom
electronic total energy	-2.0103	eV/atom
formation energy	0.409	kcal/mol of atoms
magnetization	0.000	μB/cell

The structure in extended XYZ format:
```
11
Lattice="7.285 0.000 0.000 3.642 6.454 0.716 3.642 2.474 10.182" Properties=species:S:1:pos:R:3 pbc="T T T"
Rb 5.504 4.685 1.844
Rb 9.066 4.243 9.054
Rb 9.066 4.685 1.844
Tl 7.285 2.324 5.107
Tl 7.285 6.604 5.791
Rb 5.504 4.243 9.054
Sn 7.285 1.251 2.386
Tl 3.642 1.466 2.371
Tl 10.927 7.462 8.527
Sn 7.285 7.677 8.512
Rb 3.642 4.464 5.449
```